Record 1
{"formula": "Ti4MnAl", "functional": "GGA-PBE", "state": "relaxed", "lattice": [[2.251, 1.299, 5.722], [-2.251, 1.299, 5.722], [0.000, -2.599, 5.722]], "species": ["Ti", "Ti", "Ti", "Ti", "Mn", "Al"], "frac_coords": [[0.125, 0.125, 0.125], [0.293, 0.293, 0.293], [0.707, 0.707, 0.707], [0.875, 0.875, 0.875], [0.000, 0.000, 0.000], [0.500, 0.500, 0.500]], "dos_ef_per_ev_atom": 1.3842, "formation_enthalpy_0k_ev_per_atom": 0.05, "final_energy_ev_per_atom": -7.36, "spacegroup": "R-3m, No. 166", "m_tot_mub_per_cell": 0.0, "e_above_lowest_polymorph_mev_per_atom": 221}

=====

Record 2
{"formula": "TiMn2Al", "functional": "GGA-PBE", "state": "relaxed", "lattice": [[-3.361, 3.361, 2.662], [3.361, -3.361, 2.662], [3.361, 3.361, -2.662]], "species": ["Ti", "Ti", "Mn", "Mn", "Mn", "Mn", "Al", "Al"], "frac_coords": [[0.000, 0.000, 0.000], [0.750, 0.250, 0.500], [0.122, 0.125, 0.497], [0.375, 0.878, 0.003], [0.628, 0.625, 0.503], [0.875, 0.372, 0.997], [0.250, 0.750, 0.500], [0.500, 0.500, 0.000]], "dos_ef_per_ev_atom": 0.6685, "formation_enthalpy_0k_ev_per_atom": 0.34, "final_energy_ev_per_atom": -7.16, "spacegroup": "I-42d, No. 122", "m_tot_mub_per_cell": 8.0}

=====

Record 3
{"formula": "TiMnAl4", "functional": "GGA-PBE", "state": "relaxed", "lattice": [[6.417, -3.220, 0.000], [6.417, 3.220, 0.000], [-1.938, 0.000, 4.608]], "species": ["Ti", "Ti", "Mn", "Mn", "Al", "Al", "Al", "Al", "Al", "Al", "Al", "Al"], "frac_coords": [[0.216, 0.216, 0.217], [0.784, 0.784, 0.783], [0.500, 0.500, 0.276], [0.500, 0.500, 0.724], [0.091, 0.673, 0.383], [0.189, 0.811, 0.000], [0.323, 0.323, 0.824], [0.327, 0.909, 0.617], [0.673, 0.091, 0.383], [0.677, 0.677, 0.176], [0.811, 0.189, 0.000], [0.909, 0.327, 0.617]], "dos_ef_per_ev_atom": 0.7733, "formation_enthalpy_0k_ev_per_atom": -0.10, "final_energy_ev_per_atom": -5.44, "spacegroup": "C2/m, No. 12", "m_tot_mub_per_cell": 4.5, "e_above_lowest_polymorph_mev_per_atom": 77}

=====

Record 4
{"formula": "TiMnAl6", "functional": "GGA-PBE", "state": "relaxed", "lattice": [[4.403, 2.542, 1.936], [-4.403, 2.542, 1.936], [0.000, -5.084, 1.936]], "species": ["Ti", "Mn", "Al", "Al", "Al", "Al", "Al", "Al"], "frac_coords": [[0.000, 0.000, 0.000], [0.500, 0.500, 0.500], [0.235, 0.235, 0.696], [0.235, 0.696, 0.235], [0.304, 0.765, 0.765], [0.696, 0.235, 0.235], [0.765, 0.304, 0.765], [0.765, 0.765, 0.304]], "dos_ef_per_ev_atom": 0.3538, "formation_enthalpy_0k_ev_per_atom": -0.07, "final_energy_ev_per_atom": -5.01, "spacegroup": "R-3m, No. 166", "m_tot_mub_per_cell": 0.1, "e_above_lowest_polymorph_mev_per_atom": 148}

=====

Record 5
{"formula": "TiMn4Al", "functional": "GGA-PBE", "state": "relaxed", "lattice": [[0.000, 3.339, 3.339], [3.339, 0.000, 3.339], [3.339, 3.339, 0.000]], "species": ["Ti", "Mn", "Mn", "Mn", "Mn", "Al"], "frac_coords": [[0.000, 0.000, 0.000], [0.376, 0.376, 0.376], [0.376, 0.376, 0.873], [0.376, 0.873, 0.376], [0.873, 0.376, 0.376], [0.750, 0.750, 0.750]], "dos_ef_per_ev_atom": 0.9315, "formation_enthalpy_0k_ev_per_atom": -0.23, "final_energy_ev_per_atom": -8.28, "spacegroup": "F-43m, No. 216", "m_tot_mub_per_cell": 2.0}

=====

Record 6
{"formula": "TiMn4Al3", "functional": "GGA-PBE", "state": "relaxed", "lattice": [[2.995, 0.000, 0.000], [0.000, 2.995, 0.000], [0.000, 0.000, 11.580]], "species": ["Ti", "Mn", "Mn", "Mn", "Mn", "Al", "Al", "Al"], "frac_coords": [[0.000, 0.000, 0.000], [0.500, 0.500, 0.125], [0.500, 0.500, 0.375], [0.500, 0.500, 0.625], [0.500, 0.500, 0.875], [0.000, 0.000, 0.249], [0.000, 0.000, 0.500], [0.000, 0.000, 0.751]], "dos_ef_per_ev_atom": 0.6379, "formation_enthalpy_0k_ev_per_atom": -0.25, "final_energy_ev_per_atom": -7.23, "spacegroup": "P4/mmm, No. 123", "m_tot_mub_per_cell": 6.4}